Be4SiHg: optimized geometry, GGA-PBE.

Results
Uncorrected formation energy ... 458 meV per atom
SG ... F-43m, No. 216
ρ ... 6.17 g/cm³

Unit cell a=4.6521 b=4.6521 c=4.6521 alpha=60.00 beta=60.00 gamma=60.00
With the nearest neighbours (Å) after each atom.
Positions (direct):
Be 0.6281 0.1157 0.6281  6 Be 2.27-2.38
Be 0.1157 0.6281 0.6281  6 Be 2.27-2.38
Si 0.0000 0.0000 0.0000  12 Be 2.72, 4 Hg 2.85
Be 0.6281 0.6281 0.6281  6 Be 2.27-2.38
Be 0.6281 0.6281 0.1157  6 Be 2.27-2.38
Hg 0.2500 0.2500 0.2500  12 Be 2.73, 4 Si 2.85

CaHo2In: optimized geometry, GGA-PBE.

Results
Energy above the lowest structure with this stoichiometry ... 128 meV per atom
ΔH_f (0 K) ... -0.071 eV/atom
SG ... F-43m, No. 216
ρ ... 6.78 g/cm³

Unit cell a=5.5169 b=5.5169 c=5.5154 alpha=59.99 beta=59.99 gamma=60.00
With the nearest neighbours (Å) after each atom.
Positions (direct):
In 0.7499 0.7499 0.7502  4 Ca 3.38, 4 Ho 3.38
Ho 0.0001 0.0001 0.9998  4 Ho 3.38, 4 In 3.38
Ho 0.2501 0.2501 0.2498  4 Ca 3.38, 4 Ho 3.38
Ca 0.4999 0.4999 0.5002  4 Ho 3.38, 4 In 3.38

TbPm3Ir3: optimized geometry, GGA-PBE.

Results
Energy above the lowest structure with this stoichiometry ... 0 meV per atom
ΔH_f (0 K) ... -0.632 eV/atom
SG ... R-3, No. 148
ρ ... 10.65 g/cm³

Unit cell a=7.5758 b=7.5758 c=7.5758 alpha=68.92 beta=68.92 gamma=68.92
With the nearest neighbours (Å) after each atom.
Positions (direct):
Ir 0.5580 0.3073 0.9439  2 Tb 2.82-3.01, 5 Pm 2.88-3.06, 1 Ir 3.07
Pm 0.3696 0.1171 0.8165  5 Ir 2.88-3.06
Pm 0.6304 0.8829 0.1835  5 Ir 2.88-3.06
Ir 0.3073 0.9439 0.5580  2 Tb 2.82-3.01, 5 Pm 2.88-3.06, 1 Ir 3.07
Pm 0.1171 0.8165 0.3696  5 Ir 2.88-3.06
Pm 0.8165 0.3696 0.1171  5 Ir 2.88-3.06
Ir 0.6927 0.0561 0.4420  2 Tb 2.82-3.01, 5 Pm 2.88-3.06, 1 Ir 3.07
Pm 0.1835 0.6304 0.8829  5 Ir 2.88-3.06
Tb 0.3258 0.3258 0.3258  6 Ir 2.82-3.01
Ir 0.9439 0.5580 0.3073  2 Tb 2.82-3.01, 5 Pm 2.88-3.06, 1 Ir 3.07
Tb 0.6742 0.6742 0.6742  6 Ir 2.82-3.01
Ir 0.4420 0.6927 0.0561  2 Tb 2.82-3.01, 5 Pm 2.88-3.06, 1 Ir 3.07
Pm 0.8829 0.1835 0.6304  5 Ir 2.88-3.06
Ir 0.0561 0.4420 0.6927  2 Tb 2.82-3.01, 5 Pm 2.88-3.06, 1 Ir 3.07

NdBeGa2Ir2: optimized geometry, GGA-PBE.

Results
ΔH_f (0 K) ... -0.587 eV/atom
SG ... P4/mmm, No. 123
ρ ... 10.95 g/cm³

Unit cell a=4.2651 b=4.2651 c=5.6431 alpha=90.00 beta=90.00 gamma=90.00
With the nearest neighbours (Å) after each atom.
Positions (direct):
Ir 0.0000 0.5000 0.0000  2 Be 2.13
Ga 0.5000 0.5000 0.2715  1 Ga 2.58, 4 Ir 2.63
Ga 0.5000 0.5000 0.7285  1 Ga 2.58, 4 Ir 2.63
Be 0.0000 0.0000 0.0000  4 Ir 2.13
Nd 0.0000 0.0000 0.5000  2 Be 2.82
Ir 0.5000 0.0000 0.0000  2 Be 2.13

Cd2HgSbRh: optimized geometry, GGA-PBE.

Results
Uncorrected formation energy ... -22 meV per atom
SG ... P4/mmm, No. 123
ρ ... 7.81 g/cm³

Unit cell a=5.3158 b=5.3158 c=4.8917 alpha=90.00 beta=90.00 gamma=90.00
With the nearest neighbours (Å) after each atom.
Positions (direct):
Cd 0.5000 0.0000 0.0000  2 Rh 2.66
Hg 0.5000 0.5000 0.5000  8 Cd 3.61, 4 Sb 3.76
Rh 0.0000 0.0000 0.0000  2 Sb 2.45, 4 Cd 2.66
Cd 0.0000 0.5000 0.0000  2 Rh 2.66
Sb 0.0000 0.0000 0.5000  2 Rh 2.45

Sr8Ca2Mg: optimized geometry, GGA-PBE.

Results
Energy above the lowest structure with this stoichiometry ... 9 meV per atom
ΔH_f (0 K) ... 0.028 eV/atom
SG ... C2/m, No. 12
ρ ... 2.49 g/cm³

Unit cell a=5.8605 b=9.0579 c=10.8449 alpha=103.88 beta=105.68 gamma=90.00
With the nearest neighbours (Å) after each atom.
Positions (direct):
Ca 0.7760 0.3683 0.5520  10 Sr 4.02-4.17, 2 Ca 4.09
Sr 0.3221 0.0886 0.6442  1 Mg 3.99, 8 Sr 4.04-4.22, 3 Ca 4.13-4.14
Ca 0.2240 0.6317 0.4480  10 Sr 4.02-4.17, 2 Ca 4.09
Sr 0.8625 0.8179 0.7251  7 Sr 4.01-4.15, 3 Ca 4.02-4.17, 2 Mg 4.15
Sr 0.6779 0.9114 0.3558  1 Mg 3.99, 8 Sr 4.04-4.22, 3 Ca 4.13-4.14
Mg 0.5000 0.0000 0.0000  12 Sr 3.98-4.15
Sr 0.1375 0.1821 0.2749  7 Sr 4.01-4.15, 3 Ca 4.02-4.17, 2 Mg 4.15
Sr 0.5915 0.4416 0.1830  1 Mg 3.98, 8 Sr 4.02-4.27, 3 Ca 4.07-4.10
Sr 0.0430 0.7392 0.0860  2 Mg 4.00, 9 Sr 4.01-4.27, 1 Ca 4.13
Sr 0.9570 0.2608 0.9140  2 Mg 4.00, 9 Sr 4.01-4.27, 1 Ca 4.13
Sr 0.4085 0.5584 0.8170  1 Mg 3.98, 8 Sr 4.02-4.27, 3 Ca 4.07-4.10

Pm5Y3H12: optimized geometry, GGA-PBE.

Results
Raw total energy ... -92.3 eV/f.u.
SG ... Ia-3d, No. 230
ρ ... 5.58 g/cm³

Unit cell a=11.5768 b=11.5768 c=11.5768 alpha=109.47 beta=109.47 gamma=109.47
With the nearest neighbours (Å) after each atom.
Positions (direct):
H 0.5688 0.8415 0.4116  2 Y 2.27-2.45, 1 H 2.28, 2 Pm 2.28-2.30
Y 0.7500 0.3750 0.1250  8 H 2.27-2.45
H 0.1585 0.7273 0.5702  2 Y 2.27-2.45, 1 H 2.28, 2 Pm 2.28-2.30
H 0.0884 0.1571 0.4298  2 Y 2.27-2.45, 1 H 2.28, 2 Pm 2.28-2.30
H 0.6571 0.2273 0.5688  2 Y 2.27-2.45, 1 H 2.28, 2 Pm 2.28-2.30
H 0.8429 0.9312 0.2727  2 Y 2.27-2.45, 1 H 2.28, 2 Pm 2.28-2.30
H 0.1585 0.4312 0.0884  2 Y 2.27-2.45, 1 H 2.28, 2 Pm 2.28-2.30
H 0.5884 0.6585 0.4312  2 Y 2.27-2.45, 1 H 2.28, 2 Pm 2.28-2.30
H 0.9312 0.8429 0.7727  2 Y 2.27-2.45, 1 H 2.28, 2 Pm 2.28-2.30
Y 0.8750 0.1250 0.2500  8 H 2.27-2.45
H 0.5702 0.3429 0.9116  2 Y 2.27-2.45, 1 H 2.28, 2 Pm 2.28-2.30
H 0.9312 0.0884 0.6585  2 Y 2.27-2.45, 1 H 2.28, 2 Pm 2.28-2.30
H 0.0688 0.9116 0.3415  2 Y 2.27-2.45, 1 H 2.28, 2 Pm 2.28-2.30
Y 0.8750 0.7500 0.1250  8 H 2.27-2.45
Pm 0.8750 0.2500 0.6250  4 H 2.28
Y 0.6250 0.2500 0.3750  8 H 2.27-2.45
H 0.7727 0.3429 0.9312  2 Y 2.27-2.45, 1 H 2.28, 2 Pm 2.28-2.30
H 0.0702 0.4116 0.8429  2 Y 2.27-2.45, 1 H 2.28, 2 Pm 2.28-2.30
H 0.4312 0.1585 0.5884  2 Y 2.27-2.45, 1 H 2.28, 2 Pm 2.28-2.30
H 0.5688 0.7273 0.6571  2 Y 2.27-2.45, 1 H 2.28, 2 Pm 2.28-2.30
Pm 0.5000 0.5000 0.0000  6 H 2.30
Pm 0.1250 0.3750 0.2500  4 H 2.28
Pm 0.6250 0.7500 0.8750  4 H 2.28
H 0.8415 0.2727 0.4298  2 Y 2.27-2.45, 1 H 2.28, 2 Pm 2.28-2.30
Pm 0.7500 0.1250 0.8750  4 H 2.28
H 0.3429 0.7727 0.4312  2 Y 2.27-2.45, 1 H 2.28, 2 Pm 2.28-2.30
Pm 0.2500 0.3750 0.6250  4 H 2.28
Pm 0.7500 0.6250 0.3750  4 H 2.28
Pm 0.5000 0.0000 0.0000  6 H 2.30
H 0.5884 0.9298 0.6571  2 Y 2.27-2.45, 1 H 2.28, 2 Pm 2.28-2.30
H 0.4116 0.3415 0.5688  2 Y 2.27-2.45, 1 H 2.28, 2 Pm 2.28-2.30
H 0.4116 0.0702 0.3429  2 Y 2.27-2.45, 1 H 2.28, 2 Pm 2.28-2.30
H 0.2727 0.4312 0.8429  2 Y 2.27-2.45, 1 H 2.28, 2 Pm 2.28-2.30
Pm 0.3750 0.1250 0.7500  4 H 2.28
H 0.2273 0.5702 0.6585  2 Y 2.27-2.45, 1 H 2.28, 2 Pm 2.28-2.30
H 0.0702 0.6585 0.7273  2 Y 2.27-2.45, 1 H 2.28, 2 Pm 2.28-2.30
H 0.9116 0.8429 0.5702  2 Y 2.27-2.45, 1 H 2.28, 2 Pm 2.28-2.30
H 0.6585 0.5884 0.9312  2 Y 2.27-2.45, 1 H 2.28, 2 Pm 2.28-2.30
Pm 0.1250 0.7500 0.3750  4 H 2.28
Y 0.1250 0.8750 0.7500  8 H 2.27-2.45
Pm 0.8750 0.6250 0.7500  4 H 2.28
Y 0.3750 0.6250 0.2500  8 H 2.27-2.45
Y 0.6250 0.3750 0.7500  8 H 2.27-2.45
H 0.8429 0.9116 0.0702  2 Y 2.27-2.45, 1 H 2.28, 2 Pm 2.28-2.30
Pm 0.0000 0.0000 0.5000  6 H 2.30
Y 0.7500 0.8750 0.6250  8 H 2.27-2.45
H 0.2727 0.8415 0.9298  2 Y 2.27-2.45, 1 H 2.28, 2 Pm 2.28-2.30
H 0.1571 0.0884 0.9298  2 Y 2.27-2.45, 1 H 2.28, 2 Pm 2.28-2.30
H 0.3429 0.5702 0.4116  2 Y 2.27-2.45, 1 H 2.28, 2 Pm 2.28-2.30
Y 0.1250 0.2500 0.8750  8 H 2.27-2.45
Pm 0.5000 0.5000 0.5000  6 H 2.30
Pm 0.0000 0.5000 0.0000  6 H 2.30
Pm 0.3750 0.2500 0.1250  4 H 2.28
H 0.1571 0.0688 0.7273  2 Y 2.27-2.45, 1 H 2.28, 2 Pm 2.28-2.30
Pm 0.6250 0.8750 0.2500  4 H 2.28
H 0.7727 0.4298 0.3415  2 Y 2.27-2.45, 1 H 2.28, 2 Pm 2.28-2.30
H 0.5702 0.2273 0.1585  2 Y 2.27-2.45, 1 H 2.28, 2 Pm 2.28-2.30
Pm 0.0000 0.0000 0.0000  6 H 2.30
Y 0.2500 0.6250 0.8750  8 H 2.27-2.45
H 0.4312 0.2727 0.3429  2 Y 2.27-2.45, 1 H 2.28, 2 Pm 2.28-2.30
H 0.9298 0.3415 0.2727  2 Y 2.27-2.45, 1 H 2.28, 2 Pm 2.28-2.30
H 0.3415 0.9298 0.7727  2 Y 2.27-2.45, 1 H 2.28, 2 Pm 2.28-2.30
Pm 0.2500 0.8750 0.1250  4 H 2.28
H 0.8415 0.5688 0.9116  2 Y 2.27-2.45, 1 H 2.28, 2 Pm 2.28-2.30
H 0.7273 0.5688 0.1571  2 Y 2.27-2.45, 1 H 2.28, 2 Pm 2.28-2.30
H 0.0884 0.9312 0.1585  2 Y 2.27-2.45, 1 H 2.28, 2 Pm 2.28-2.30
H 0.0688 0.1571 0.2273  2 Y 2.27-2.45, 1 H 2.28, 2 Pm 2.28-2.30
H 0.4298 0.7727 0.8415  2 Y 2.27-2.45, 1 H 2.28, 2 Pm 2.28-2.30
Pm 0.0000 0.5000 0.5000  6 H 2.30
H 0.4298 0.6571 0.0884  2 Y 2.27-2.45, 1 H 2.28, 2 Pm 2.28-2.30
Pm 0.5000 0.0000 0.5000  6 H 2.30
Y 0.2500 0.1250 0.3750  8 H 2.27-2.45
H 0.6585 0.0702 0.2273  2 Y 2.27-2.45, 1 H 2.28, 2 Pm 2.28-2.30
H 0.6571 0.4298 0.5884  2 Y 2.27-2.45, 1 H 2.28, 2 Pm 2.28-2.30
H 0.2273 0.6571 0.0688  2 Y 2.27-2.45, 1 H 2.28, 2 Pm 2.28-2.30
H 0.9298 0.5884 0.1571  2 Y 2.27-2.45, 1 H 2.28, 2 Pm 2.28-2.30
H 0.3415 0.4116 0.0688  2 Y 2.27-2.45, 1 H 2.28, 2 Pm 2.28-2.30
H 0.7273 0.1585 0.0702  2 Y 2.27-2.45, 1 H 2.28, 2 Pm 2.28-2.30
Y 0.3750 0.7500 0.6250  8 H 2.27-2.45
H 0.9116 0.0688 0.8415  2 Y 2.27-2.45, 1 H 2.28, 2 Pm 2.28-2.30

TeP3: optimized geometry, GGA-PBE.

Results
Uncorrected formation energy ... 481 meV per atom
Energy above the lowest structure with this stoichiometry ... 282 meV per atom
SG ... P4/mmm, No. 123
ρ ... 4.22 g/cm³

Unit cell a=3.2015 b=3.2015 c=8.4728 alpha=90.00 beta=90.00 gamma=90.00
With the nearest neighbours (Å) after each atom.
Positions (direct):
P 0.0000 0.0000 0.1195  1 P 2.21
P 0.0000 0.0000 0.3805  1 P 2.21
Te 0.5000 0.5000 0.7500  4 Te 3.20
P 0.5000 0.5000 0.2500  8 P 2.52

TmCoSnPt: optimized geometry, GGA-PBE.

Results
ΔH_f (0 K) ... -0.585 eV/atom
SG ... F-43m, No. 216
ρ ... 12.45 g/cm³

Unit cell a=4.6745 b=4.6745 c=4.6745 alpha=60.00 beta=60.00 gamma=60.00
With the nearest neighbours (Å) after each atom.
Positions (direct):
Tm 0.0000 0.0000 0.0000  4 Co 2.86, 4 Pt 2.86
Co 0.2500 0.2500 0.2500  4 Sn 2.86, 4 Tm 2.86
Pt 0.7500 0.7500 0.7500  4 Sn 2.86, 4 Tm 2.86
Sn 0.5000 0.5000 0.5000  4 Pt 2.86, 4 Co 2.86

ReHgGe3: optimized geometry, GGA-PBE.

Results
Energy above the lowest structure with this stoichiometry ... 0 meV per atom
ΔH_f (0 K) ... 0.272 eV/atom
SG ... Pm-3m, No. 221
ρ ... 8.61 g/cm³

Unit cell a=4.8850 b=4.8850 c=4.8850 alpha=90.00 beta=90.00 gamma=90.00
With the nearest neighbours (Å) after each atom.
Positions (direct):
Re 0.0000 0.0000 0.0000  6 Ge 2.44
Hg 0.5000 0.5000 0.5000  12 Ge 3.45
Ge 0.5000 0.0000 0.0000  2 Re 2.44
Ge 0.0000 0.5000 0.0000  2 Re 2.44
Ge 0.0000 0.0000 0.5000  2 Re 2.44

LiZn3Au9: optimized geometry, GGA-PBE.

Results
ΔH_f (0 K) ... -0.172 eV/atom
SG ... C2/m, No. 12
ρ ... 13.91 g/cm³

Unit cell a=5.4231 b=7.0437 c=7.0898 alpha=82.66 beta=67.51 gamma=70.48
With the nearest neighbours (Å) after each atom.
Positions (direct):
Au 0.3068 0.2127 0.2176  3 Zn 2.64-2.72, 5 Au 2.83-2.93
Au 0.6932 0.7873 0.7824  3 Zn 2.64-2.72, 5 Au 2.83-2.93
Au 0.5244 0.2127 0.7824  3 Zn 2.64-2.72, 5 Au 2.83-2.93
Zn 0.5000 0.0000 0.5000  8 Au 2.67-2.76, 2 Zn 2.71
Zn 0.0000 0.0000 0.5000  8 Au 2.67-2.76, 2 Zn 2.71
Au 0.9686 0.6697 0.3514  3 Zn 2.75-2.98, 5 Au 2.82-3.00
Zn 0.5000 0.5000 0.0000  6 Au 2.64-2.71
Au 0.0314 0.3303 0.6486  3 Zn 2.75-2.98, 5 Au 2.82-3.00
Li 0.0000 0.0000 0.0000  14 Au 3.18-3.52, 4 Zn 3.54
Au 0.6800 0.3303 0.3514  3 Zn 2.75-2.98, 5 Au 2.82-3.00
Au 0.3200 0.6697 0.6486  3 Zn 2.75-2.98, 5 Au 2.82-3.00
Au 0.0000 0.5000 0.0000  2 Zn 2.71, 8 Au 2.82-2.86
Au 0.4756 0.7873 0.2176  3 Zn 2.64-2.72, 5 Au 2.83-2.93

Li4ErAg2: optimized geometry, GGA-PBE.

Results
ΔH_f (0 K) ... -0.130 eV/atom
SG ... Cmmm, No. 65
ρ ... 4.90 g/cm³

Unit cell a=3.9799 b=3.9175 c=9.1472 alpha=102.37 beta=90.00 gamma=90.00
With the nearest neighbours (Å) after each atom.
Positions (direct):
Li 0.0000 0.6797 0.3593  2 Ag 2.69, 4 Li 2.79
Ag 0.5000 0.5786 0.1572  4 Li 2.69-2.72, 1 Ag 2.81
Li 0.0000 0.3203 0.6407  2 Ag 2.69, 4 Li 2.79
Er 0.0000 0.0000 0.0000  8 Ag 3.13
Li 0.5000 0.1840 0.3680  2 Ag 2.72, 4 Li 2.79
Ag 0.5000 0.4214 0.8428  4 Li 2.69-2.72, 1 Ag 2.81
Li 0.5000 0.8160 0.6320  2 Ag 2.72, 4 Li 2.79

- Which value of ρ does entry 1 give?
  6.17 g/cm³